A plane-wave DFT calculation with PBE was carried out for an optimized crystal structure of Mn5Pt3.

Properties
symmetry = Cmcm, No. 63
energy = -130.6 eV per cell
total magnetization = 4.00 Bohr magnetons per cell
calculated density = 11.9 g/cm³
formation energy = -169 meV per atom

Unit cell a=7.6077 b=7.3981 c=4.8972 alpha=90.00 beta=90.00 gamma=60.91
Last column: nearest neighbours and their distance in Å.
Fractional positions:
Mn 0.7630 0.2459 0.2500  5 Pt 2.59-2.77
Mn 0.2371 0.7541 0.7500  5 Pt 2.59-2.77
Mn 0.2370 0.0089 0.2500  5 Pt 2.59-2.77
Mn 0.0000 0.2203 0.7500  5 Pt 2.64-2.81
Mn 0.6695 0.6653 0.0000  2 Mn 2.45, 6 Pt 2.60-2.63
Mn 0.6695 0.6653 0.5000  2 Mn 2.45, 6 Pt 2.60-2.63
Mn 0.3306 0.3347 0.0000  2 Mn 2.45, 6 Pt 2.60-2.63
Mn 0.3306 0.3347 0.5000  2 Mn 2.45, 6 Pt 2.60-2.63
Mn 0.7630 0.9912 0.7500  5 Pt 2.59-2.77
Mn 0.0000 0.7798 0.2500  5 Pt 2.64-2.81
Pt 0.6046 0.3938 0.7500  9 Mn 2.60-2.77
Pt 0.3955 0.6062 0.2500  9 Mn 2.60-2.77
Pt 0.3955 0.9984 0.7500  9 Mn 2.60-2.77
Pt 0.0000 0.4059 0.2500  9 Mn 2.59-2.81, 2 Pt 2.82
Pt 0.6045 0.0017 0.2500  9 Mn 2.60-2.77
Pt 0.0000 0.5941 0.7500  9 Mn 2.59-2.81, 2 Pt 2.82